{
  "formula": "TaGeN2",
  "functional": "PBE",
  "state": "optimized geometry",
  "lattice_angstrom": [[-2.6348, 2.6348, 4.6585], [2.6348, -2.6348, 4.6585], [2.6348, 2.6348, -4.6585]],
  "species": ["Ta", "Ta", "Ge", "Ge", "N", "N", "N", "N"],
  "fractional_positions": [[0.0000, 0.0000, 0.0000], [0.7500, 0.2500, 0.5000], [0.2500, 0.7500, 0.5000], [0.5000, 0.5000, 0.0000], [0.0399, 0.6250, 0.9149], [0.3750, 0.2899, 0.4149], [0.7101, 0.1250, 0.0851], [0.8750, 0.9601, 0.5851]],
  "energy_ev_per_atom": -8.41,
  "e_form_raw_kcal_per_mol_atoms": -3.10,
  "m_tot_mub_per_cell": 0.000,
  "volume_a3_per_cell": 129.4,
  "dos_at_fermi_per_ev_atom": 0.30
}